An optimized crystal structure of KPdRhO6, computed with PBE.

Cell and atoms, written as extended XYZ:
```
9
Lattice="5.297 0.000 0.000 -2.648 4.587 0.000 0.000 0.000 5.916" Properties=species:S:1:pos:R:3 pbc="T T T"
K 0.000 0.000 0.000
Pd 0.000 3.058 2.958
Rh 2.648 1.529 2.958
O 2.090 0.030 4.058
O 1.072 1.795 1.858
O 3.206 0.030 1.858
O 1.630 2.762 4.058
O 4.225 1.795 4.058
O 3.667 2.762 1.858
```

Output
SG: P312, No. 149
DOS(E_F): 7.0 states/eV per cell
mass density: 4.0 g cm⁻³
formation energy (no corrections): -531 meV/atom
final energy: -5.352 eV/atom

***

An optimized crystal structure of SrPtW, computed with PBE.

Cell and atoms, written as extended XYZ:
```
6
Lattice="5.495 0.000 0.000 -2.748 4.759 0.000 0.000 0.000 9.562" Properties=species:S:1:pos:R:3 pbc="T T T"
Sr 0.000 3.173 2.390
Sr 2.748 1.586 7.171
Pt 0.000 0.000 0.000
Pt 0.000 0.000 4.781
W 0.000 0.000 2.390
W 0.000 0.000 7.171
```

Output
SG: P6_3/mmc, No. 194
DOS(E_F): 8.5 states/eV per cell
mass density: 6.2 g cm⁻³
formation enthalpy at 0 K: 1.606 eV per atom
energy above the lowest structure with this stoichiometry: 1633.5 meV/atom
final energy: -5.286 eV/atom

***

An optimized crystal structure of Cs2TiSbS, computed with PBE.

Cell and atoms, written as extended XYZ:
```
5
Lattice="7.514 0.000 0.000 0.000 7.514 0.000 0.000 0.000 5.131" Properties=species:S:1:pos:R:3 pbc="T T T"
Cs 0.000 3.757 0.000
Cs 3.757 0.000 0.000
Ti 0.000 0.000 2.566
Sb 3.757 3.757 0.000
S 3.757 3.757 2.566
```

Output
SG: P4/mmm, No. 123
DOS(E_F): 11.3 states/eV per cell
mass density: 2.7 g cm⁻³
formation energy (no corrections): 659 meV/atom
final energy: -2.912 eV/atom

***

An optimized crystal structure of SmYBiI, computed with PBE.

Cell and atoms, written as extended XYZ:
```
4
Lattice="0.000 3.896 3.896 3.896 0.000 3.896 3.896 3.896 0.000" Properties=species:S:1:pos:R:3 pbc="T T T"
Sm 0.000 0.000 0.000
Y 3.896 3.896 3.896
Bi 1.948 1.948 1.948
I 5.843 5.843 5.843
```

Output
SG: F-43m, No. 216
DOS(E_F): 2.6 states/eV per cell
mass density: 8.1 g cm⁻³
formation energy (no corrections): -757 meV/atom
final energy: -4.911 eV/atom

***

An optimized crystal structure of PmSbPRh2, computed with PBE.

Cell and atoms, written as extended XYZ:
```
5
Lattice="4.211 0.000 0.000 0.000 4.211 0.000 0.000 0.000 6.393" Properties=species:S:1:pos:R:3 pbc="T T T"
Pm 0.000 0.000 0.000
Sb 2.106 2.106 0.966
P 0.000 0.000 3.612
Rh 0.000 2.106 2.693
Rh 2.106 0.000 2.693
```

Output
SG: P4mm, No. 99
DOS(E_F): 5.8 states/eV per cell
mass density: 7.4 g cm⁻³
formation energy (no corrections): -672 meV/atom
final energy: -6.469 eV/atom

***

An optimized crystal structure of HfTe2Br2, computed with PBE.

Cell and atoms, written as extended XYZ:
```
10
Lattice="3.483 -6.541 0.000 3.483 6.541 0.000 -2.707 0.000 7.501" Properties=species:S:1:pos:R:3 pbc="T T T"
Hf 3.483 4.658 0.000
Hf 3.483 -4.658 0.000
Te -0.145 0.000 2.380
Te 2.113 0.000 0.843
Te 2.145 0.000 6.657
Te 4.403 0.000 5.121
Br -0.494 2.861 5.927
Br -0.494 -2.861 5.927
Br 4.752 2.861 1.573
Br 4.752 -2.861 1.573
```

Output
SG: C2/m, No. 12
mass density: 5.8 g cm⁻³
formation energy (no corrections): -882 meV/atom
final energy: -4.798 eV/atom

***

- Among the records above, which one has the highest mass density?
  SmYBiI

***

- Which of these has the highest final energy?
  Cs2TiSbS